Density functional theory data (SCAN) for AlTlSCl2 at its PBEsol-relaxed geometry.

Volume (Å³ per cell): 107
VASP energy (eV for the cell shown): -111.0
Formation energy without anion corrections (eV/f.u.): -5.354

a b c (Å): 4.831 4.831 4.585
angles (deg): 90.00 90.00 90.00
Fractional coordinates of all 5 atoms:
Al (0.000, 0.000, 0.000)
Tl (0.500, 0.500, 0.500)
S (0.000, 0.000, 0.500)
Cl (0.000, 0.500, 0.000)
Cl (0.500, 0.000, 0.000)

Density functional theory data (SCAN) for SrAs2Pt at its PBEsol-relaxed geometry.

Volume (Å³ per cell): 84
Formation energy from the elements (eV per atom): -0.43
VASP energy (eV for the cell shown): -134.6

a b c (Å): 3.531 3.531 6.731
angles (deg): 90.00 90.00 90.00
Fractional coordinates of all 4 atoms:
Sr (0.000, 0.000, 0.000)
As (0.000, 0.000, 0.528)
As (0.500, 0.500, 0.288)
Pt (0.500, 0.500, 0.663)

Density functional theory data (SCAN) for Li3RhF at its PBEsol-relaxed geometry.

Volume (Å³ per cell): 58
VASP energy (eV for the cell shown): -49.5
Formation energy without anion corrections (eV/f.u.): -5.022

a b c (Å): 3.863 3.863 3.863
angles (deg): 90.00 90.00 90.00
Fractional coordinates of all 5 atoms:
Li (0.000, 0.000, 0.500)
Li (0.000, 0.500, 0.000)
Li (0.500, 0.000, 0.000)
Rh (0.500, 0.500, 0.500)
F (0.000, 0.000, 0.000)

Density functional theory data (SCAN) for Ba5In5O12 at its PBEsol-relaxed geometry.

Volume (Å³ per cell): 372
VASP energy (eV for the cell shown): -487.5
Formation energy without anion corrections (eV/f.u.): -48.060

a b c (Å): 5.913 7.233 9.621
angles (deg): 71.83 72.75 88.34
Fractional coordinates of all 22 atoms:
Ba (0.000, 0.000, 0.000)
Ba (0.200, 0.784, 0.600)
Ba (0.390, 0.597, 0.200)
Ba (0.610, 0.403, 0.800)
Ba (0.800, 0.216, 0.400)
In (0.000, 0.500, 0.000)
In (0.179, 0.274, 0.608)
In (0.409, 0.085, 0.208)
In (0.591, 0.915, 0.792)
In (0.821, 0.726, 0.392)
O (0.000, 0.500, 0.500)
O (0.052, 0.977, 0.270)
O (0.104, 0.403, 0.800)
O (0.314, 0.217, 0.391)
O (0.318, 0.683, 0.912)
O (0.484, 0.177, 0.666)
O (0.500, 0.000, 0.000)
O (0.516, 0.823, 0.334)
O (0.682, 0.317, 0.088)
O (0.686, 0.783, 0.609)
O (0.896, 0.597, 0.200)
O (0.948, 0.023, 0.730)

Density functional theory data (SCAN) for ErAg2SnS4 at its PBEsol-relaxed geometry.

Volume (Å³ per cell): 160
VASP energy (eV for the cell shown): -194.4
Formation energy without anion corrections (eV/f.u.): -6.913

a b c (Å): 6.754 6.754 6.754
angles (deg): 133.31 133.31 68.17
Fractional coordinates of all 8 atoms:
Er (0.000, 0.000, 0.000)
Ag (0.250, 0.750, 0.500)
Ag (0.500, 0.500, 0.000)
Sn (0.750, 0.250, 0.500)
S (0.242, 0.242, 0.000)
S (0.504, 0.004, 0.500)
S (0.758, 0.758, 0.000)
S (0.996, 0.496, 0.500)

Density functional theory data (SCAN) for SrBe2Tc at its PBEsol-relaxed geometry.

E above lowest polymorph (meV/atom): 0
Volume (Å³ per cell): 61
Formation energy from the elements (eV per atom): 0.60
VASP energy (eV for the cell shown): -63.6

a b c (Å): 2.880 2.880 7.299
angles (deg): 90.00 90.00 90.00
Fractional coordinates of all 4 atoms:
Sr (0.000, 0.000, 0.000)
Be (0.000, 0.000, 0.533)
Be (0.500, 0.500, 0.669)
Tc (0.500, 0.500, 0.348)

Density functional theory data (SCAN) for CsNbIO2 at its PBEsol-relaxed geometry.

Volume (Å³ per cell): 105
VASP energy (eV for the cell shown): -126.1
Formation energy without anion corrections (eV/f.u.): -5.972

a b c (Å): 4.355 4.355 5.552
angles (deg): 90.00 90.00 90.00
Fractional coordinates of all 5 atoms:
Cs (0.000, 0.000, 0.000)
Nb (0.500, 0.500, 0.500)
I (0.500, 0.500, 0.000)
O (0.000, 0.500, 0.500)
O (0.500, 0.000, 0.500)

Density functional theory data (SCAN) for ZnSnSb2 at its PBEsol-relaxed geometry.

E above lowest polymorph (meV/atom): 4
Volume (Å³ per cell): 124
VASP energy (eV for the cell shown): -124.2
Formation energy without anion corrections (eV/f.u.): -0.197

a b c (Å): 4.461 4.461 6.222
angles (deg): 90.00 90.00 90.00
Fractional coordinates of all 4 atoms:
Zn (0.000, 0.000, 0.000)
Sn (0.500, 0.500, 0.500)
Sb (0.000, 0.500, 0.220)
Sb (0.500, 0.000, 0.780)

Density functional theory data (SCAN) for MnBeBr2N at its PBEsol-relaxed geometry.

Volume (Å³ per cell): 101
VASP energy (eV for the cell shown): -65.9
Formation energy without anion corrections (eV/f.u.): 4.950

a b c (Å): 4.629 4.629 4.698
angles (deg): 90.00 90.00 90.00
Fractional coordinates of all 5 atoms:
Mn (0.000, 0.000, 0.000)
Be (0.000, 0.000, 0.500)
Br (0.000, 0.500, 0.500)
Br (0.500, 0.000, 0.500)
N (0.500, 0.500, 0.000)

Density functional theory data (SCAN) for KAuCl2 at its PBEsol-relaxed geometry.

E above lowest polymorph (meV/atom): 762
Volume (Å³ per cell): 89
VASP energy (eV for the cell shown): -95.1
Formation energy without anion corrections (eV/f.u.): -1.671

a b c (Å): 5.018 5.018 5.018
angles (deg): 60.00 60.00 60.00
Fractional coordinates of all 4 atoms:
K (0.000, 0.000, 0.000)
Au (0.750, 0.750, 0.750)
Cl (0.250, 0.250, 0.250)
Cl (0.500, 0.500, 0.500)

Density functional theory data (SCAN) for Sr3CrN4 at its PBEsol-relaxed geometry.

Volume (Å³ per cell): 1069
VASP energy (eV for the cell shown): -1051.7
Formation energy without anion corrections (eV/f.u.): -9.082

a b c (Å): 9.476 11.155 10.115
angles (deg): 90.00 90.00 90.00
Fractional coordinates of all 64 atoms:
Sr (0.028, 0.106, 0.129)
Sr (0.028, 0.394, 0.629)
Sr (0.128, 0.645, 0.026)
Sr (0.128, 0.855, 0.526)
Sr (0.197, 0.113, 0.718)
Sr (0.197, 0.387, 0.218)
Sr (0.303, 0.613, 0.718)
Sr (0.303, 0.887, 0.218)
Sr (0.372, 0.145, 0.026)
Sr (0.372, 0.355, 0.526)
Sr (0.472, 0.606, 0.129)
Sr (0.472, 0.894, 0.629)
Sr (0.528, 0.106, 0.371)
Sr (0.528, 0.394, 0.871)
Sr (0.628, 0.645, 0.474)
Sr (0.628, 0.855, 0.974)
Sr (0.697, 0.113, 0.782)
Sr (0.697, 0.387, 0.282)
Sr (0.803, 0.613, 0.782)
Sr (0.803, 0.887, 0.282)
Sr (0.872, 0.145, 0.474)
Sr (0.872, 0.355, 0.974)
Sr (0.972, 0.606, 0.371)
Sr (0.972, 0.894, 0.871)
Cr (0.195, 0.111, 0.402)
Cr (0.195, 0.389, 0.902)
Cr (0.305, 0.611, 0.402)
Cr (0.305, 0.889, 0.902)
Cr (0.695, 0.111, 0.098)
Cr (0.695, 0.389, 0.598)
Cr (0.805, 0.611, 0.098)
Cr (0.805, 0.889, 0.598)
N (0.067, 0.010, 0.346)
N (0.067, 0.490, 0.846)
N (0.120, 0.221, 0.499)
N (0.120, 0.279, 0.999)
N (0.188, 0.532, 0.502)
N (0.188, 0.968, 0.002)
N (0.215, 0.673, 0.268)
N (0.215, 0.827, 0.768)
N (0.285, 0.173, 0.268)
N (0.285, 0.327, 0.768)
N (0.312, 0.032, 0.502)
N (0.312, 0.468, 0.002)
N (0.380, 0.721, 0.499)
N (0.380, 0.779, 0.999)
N (0.433, 0.510, 0.346)
N (0.433, 0.990, 0.846)
N (0.567, 0.010, 0.154)
N (0.567, 0.490, 0.654)
N (0.620, 0.221, 0.001)
N (0.620, 0.279, 0.501)
N (0.688, 0.532, 0.998)
N (0.688, 0.968, 0.498)
N (0.715, 0.673, 0.232)
N (0.715, 0.827, 0.732)
N (0.785, 0.173, 0.232)
N (0.785, 0.327, 0.732)
N (0.812, 0.032, 0.998)
N (0.812, 0.468, 0.498)
N (0.880, 0.721, 0.001)
N (0.880, 0.779, 0.501)
N (0.933, 0.510, 0.154)
N (0.933, 0.990, 0.654)

Density functional theory data (SCAN) for Co2HgW at its PBEsol-relaxed geometry.

Volume (Å³ per cell): 55
Formation energy from the elements (eV per atom): 0.34
VASP energy (eV for the cell shown): -171.1

a b c (Å): 2.856 3.250 5.957
angles (deg): 90.00 90.00 90.00
Fractional coordinates of all 4 atoms:
Co (0.000, 0.000, 0.211)
Co (0.000, 0.000, 0.789)
Hg (0.500, 0.500, 0.500)
W (0.500, 0.500, 0.000)

Density functional theory data (SCAN) for MnHgS2 at its PBEsol-relaxed geometry.

E above lowest polymorph (meV/atom): 28
Volume (Å³ per cell): 76
VASP energy (eV for the cell shown): -108.0
Formation energy without anion corrections (eV/f.u.): -2.361

a b c (Å): 3.188 3.188 8.667
angles (deg): 90.00 90.00 120.00
Fractional coordinates of all 4 atoms:
Mn (0.000, 0.000, 0.000)
Hg (0.667, 0.333, 0.509)
S (0.333, 0.667, 0.843)
S (0.667, 0.333, 0.156)

Density functional theory data (SCAN) for Fe2HgRu at its PBEsol-relaxed geometry.

Volume (Å³ per cell): 56
Formation energy from the elements (eV per atom): 0.32
VASP energy (eV for the cell shown): -138.0

a b c (Å): 4.694 4.694 4.694
angles (deg): 132.17 132.17 69.96
Fractional coordinates of all 4 atoms:
Fe (0.000, 0.000, 0.000)
Fe (0.750, 0.250, 0.500)
Hg (0.500, 0.500, 0.000)
Ru (0.250, 0.750, 0.500)

Density functional theory data (SCAN) for CaSi at its PBEsol-relaxed geometry.

Volume (Å³ per cell): 96
VASP energy (eV for the cell shown): -39.8
Formation energy without anion corrections (eV/f.u.): -0.209

a b c (Å): 3.424 3.424 8.183
angles (deg): 90.00 90.00 90.00
Fractional coordinates of all 4 atoms:
Ca (0.250, 0.250, 0.196)
Ca (0.750, 0.750, 0.804)
Si (0.250, 0.250, 0.553)
Si (0.750, 0.750, 0.447)

Density functional theory data (SCAN) for ScCd3C at its PBEsol-relaxed geometry.

Volume (Å³ per cell): 174
Formation energy from the elements (eV per atom): 1.97
VASP energy (eV for the cell shown): -105.7

a b c (Å): 5.579 5.579 5.579
angles (deg): 90.00 90.00 90.00
Fractional coordinates of all 5 atoms:
Sc (0.000, 0.000, 0.000)
Cd (0.000, 0.000, 0.500)
Cd (0.000, 0.500, 0.000)
Cd (0.500, 0.000, 0.000)
C (0.500, 0.500, 0.500)

Density functional theory data (SCAN) for Li2LaTa at its PBEsol-relaxed geometry.

E above lowest polymorph (meV/atom): 28
Volume (Å³ per cell): 83
Formation energy from the elements (eV per atom): 0.49
VASP energy (eV for the cell shown): -112.5

a b c (Å): 11.147 11.147 11.147
angles (deg): 15.24 15.24 15.24
Fractional coordinates of all 4 atoms:
Li (0.241, 0.241, 0.241)
Li (0.759, 0.759, 0.759)
La (0.000, 0.000, 0.000)
Ta (0.500, 0.500, 0.500)

Density functional theory data (SCAN) for FeCoRu2 at its PBEsol-relaxed geometry.

E above lowest polymorph (meV/atom): 38
Volume (Å³ per cell): 50
Formation energy from the elements (eV per atom): 0.20
VASP energy (eV for the cell shown): -104.3

a b c (Å): 4.135 4.135 4.135
angles (deg): 60.00 60.00 60.00
Fractional coordinates of all 4 atoms:
Fe (0.000, 0.000, 0.000)
Co (0.250, 0.250, 0.250)
Ru (0.500, 0.500, 0.500)
Ru (0.750, 0.750, 0.750)

Density functional theory data (SCAN) for YScBe2 at its PBEsol-relaxed geometry.

E above lowest polymorph (meV/atom): 196
Volume (Å³ per cell): 68
Formation energy from the elements (eV per atom): 0.22
VASP energy (eV for the cell shown): -49.9

a b c (Å): 2.986 2.986 7.676
angles (deg): 90.00 90.00 90.00
Fractional coordinates of all 4 atoms:
Y (0.000, 0.000, 0.000)
Sc (0.500, 0.500, 0.643)
Be (0.000, 0.000, 0.401)
Be (0.500, 0.500, 0.277)

Density functional theory data (SCAN) for Li2TaCl at its PBEsol-relaxed geometry.

E above lowest polymorph (meV/atom): 0
Volume (Å³ per cell): 70
VASP energy (eV for the cell shown): -79.7
Formation energy without anion corrections (eV/f.u.): -0.326

a b c (Å): 2.981 2.981 9.124
angles (deg): 90.00 90.00 119.71
Fractional coordinates of all 4 atoms:
Li (0.000, 0.000, 0.000)
Li (0.500, 0.500, 0.288)
Ta (0.500, 0.500, 0.721)
Cl (0.000, 0.000, 0.488)